No. 1
DFT (GGA+U) results for crystalline Li2GeMoO4 at its relaxed geometry.

a b c (Å): 4.2879 4.2879 5.4986
angles (deg): 112.94 112.94 90.02
Site moments in Bohr magnetons follow the coordinates.
Positions (direct):
O: 0.5163 0.0163 0.0326  0.01
O: 0.2633 0.2633 0.5266  -0.01
O: 0.7367 0.7367 0.4734  -0.01
Li: 0.2500 0.7500 0.5000  0.00
Li: 0.0000 0.0000 0.0000  0.00
Mo: 0.5000 0.5000 0.0000  2.64
Ge: 0.7500 0.2500 0.5000  -0.05
O: 0.9837 0.4837 0.9674  0.01

Summary:
Crystal system: tetragonal
Space group: I-4m2, No. 119


No. 2
DFT (GGA+U) results for crystalline LiGeMoO6 at its relaxed geometry.

a b c (Å): 4.6911 4.6911 8.8952
angles (deg): 90.00 90.00 90.00
Site moments in Bohr magnetons follow the coordinates.
Positions (direct):
O: 0.2958 0.2958 0.6824  0.19
O: 0.2863 0.2863 0.3139  0.12
Ge: 0.0000 0.0000 0.3330  -0.01
O: 0.1822 0.8178 0.4986  0.12
O: 0.7863 0.2137 0.8139  0.12
O: 0.2042 0.7958 0.1824  0.19
Li: 0.0000 0.0000 0.0045  0.00
Ge: 0.5000 0.5000 0.8330  -0.01
Mo: 0.5000 0.5000 0.1727  -0.14
Mo: 0.0000 0.0000 0.6727  -0.14
O: 0.2137 0.7863 0.8139  0.12
O: 0.6822 0.6822 0.9986  0.12
O: 0.7042 0.7042 0.6824  0.19
O: 0.3178 0.3178 0.9986  0.12
O: 0.7958 0.2042 0.1824  0.19
Li: 0.5000 0.5000 0.5045  0.00
O: 0.7137 0.7137 0.3139  0.12
O: 0.8178 0.1822 0.4986  0.12

Summary:
Crystal system: tetragonal
Space group: P4_2nm, No. 102


no.,total magnetic moment (μB per formula unit),density of states at the Fermi level (states/eV per atom),electronic total energy (eV/cell)
1,2.716,0.151,-48.4
2,0.882,0.496,-112.7